# 1
# CsAlB2Te | Alexandria via LeMat-Bulk | PBE-GGA | relaxed
data_CsAlB2Te
_chemical_formula_sum 'Cs1 Al1 B2 Te1'
_space_group_name_H-M_alt 'P 1'
_space_group_IT_number 1
_cell_length_a 5.100
_cell_length_b 5.100
_cell_length_c 6.136
_cell_angle_alpha 90.00
_cell_angle_beta 90.00
_cell_angle_gamma 90.00
loop_
_space_group_symop_operation_xyz
'x,y,z'
loop_
_atom_site_label
_atom_site_fract_x
_atom_site_fract_y
_atom_site_fract_z
_atom_site_occupancy
Cs1 0.000 0.000 0.000 1
Al1 0.000 0.000 0.500 1
B1 0.000 0.500 0.000 1
B2 0.500 0.000 0.000 1
Te1 0.500 0.500 0.500 1
# space-group type	P4/mmm (123)
# spin magnetization	0.000	μB per cell
# DOS at the Fermi energy	3.60	states/eV/cell
# calculated volume	159.6	Å³ per cell
# formation energy (no corrections)	2.520	eV per atom
# total energy	-0.0624	Ha/atom

# 2
# CsAl2BW | Alexandria via LeMat-Bulk | PBE-GGA | relaxed
data_CsAl2BW
_chemical_formula_sum 'Cs1 Al2 B1 W1'
_space_group_name_H-M_alt 'P 1'
_space_group_IT_number 1
_cell_length_a 4.297
_cell_length_b 4.297
_cell_length_c 5.552
_cell_angle_alpha 90.00
_cell_angle_beta 90.00
_cell_angle_gamma 90.00
loop_
_space_group_symop_operation_xyz
'x,y,z'
loop_
_atom_site_label
_atom_site_fract_x
_atom_site_fract_y
_atom_site_fract_z
_atom_site_occupancy
Cs1 0.000 0.000 0.000 1
Al1 0.000 0.500 0.500 1
Al2 0.500 0.000 0.500 1
B1 0.000 0.000 0.500 1
W1 0.500 0.500 0.000 1
# space-group type	P4/mmm (123)
# formation enthalpy at 0 K	1.755	eV/atom
# spin magnetization	2.955	μB per cell
# DOS at the Fermi energy	4.12	states/eV/cell
# calculated volume	102.5	Å³ per cell
# total energy	-0.1411	Ha/atom

# 3
# CsZrAl2B | Alexandria via LeMat-Bulk | PBE-GGA | relaxed
data_CsZrAl2B
_chemical_formula_sum 'Cs1 Zr1 Al2 B1'
_space_group_name_H-M_alt 'P 1'
_space_group_IT_number 1
_cell_length_a 5.331
_cell_length_b 5.331
_cell_length_c 6.321
_cell_angle_alpha 90.00
_cell_angle_beta 90.00
_cell_angle_gamma 90.00
loop_
_space_group_symop_operation_xyz
'x,y,z'
loop_
_atom_site_label
_atom_site_fract_x
_atom_site_fract_y
_atom_site_fract_z
_atom_site_occupancy
Cs1 0.000 0.000 0.000 1
Zr1 0.000 0.000 0.500 1
Al1 0.000 0.500 0.500 1
Al2 0.500 0.000 0.500 1
B1 0.500 0.500 0.000 1
# space-group type	P4/mmm (123)
# formation enthalpy at 0 K	1.855	eV/atom
# spin magnetization	0.000	μB per cell
# DOS at the Fermi energy	6.14	states/eV/cell
# calculated volume	179.7	Å³ per cell
# total energy	-0.1050	Ha/atom

# 4
# AlCuB3 | Alexandria via LeMat-Bulk | PBE-GGA | relaxed
data_AlCuB3
_chemical_formula_sum 'Al1 Cu1 B3'
_space_group_name_H-M_alt 'P 1'
_space_group_IT_number 1
_cell_length_a 4.107
_cell_length_b 4.107
_cell_length_c 4.107
_cell_angle_alpha 90.00
_cell_angle_beta 90.00
_cell_angle_gamma 90.00
loop_
_space_group_symop_operation_xyz
'x,y,z'
loop_
_atom_site_label
_atom_site_fract_x
_atom_site_fract_y
_atom_site_fract_z
_atom_site_occupancy
Al1 0.000 0.000 0.000 1
Cu1 0.500 0.500 0.500 1
B1 0.000 0.000 0.500 1
B2 0.000 0.500 0.000 1
B3 0.500 0.000 0.000 1
# space-group type	Pm-3m (221)
# formation enthalpy at 0 K	1.920	eV/atom
# spin magnetization	0.000	μB per cell
# DOS at the Fermi energy	2.13	states/eV/cell
# calculated volume	69.3	Å³ per cell
# total energy	-0.1343	Ha/atom

# 5
# Al3CuB | Alexandria via LeMat-Bulk | PBE-GGA | relaxed
data_Al3CuB
_chemical_formula_sum 'Al3 Cu1 B1'
_space_group_name_H-M_alt 'P 1'
_space_group_IT_number 1
_cell_length_a 4.136
_cell_length_b 4.136
_cell_length_c 4.136
_cell_angle_alpha 90.00
_cell_angle_beta 90.00
_cell_angle_gamma 90.00
loop_
_space_group_symop_operation_xyz
'x,y,z'
loop_
_atom_site_label
_atom_site_fract_x
_atom_site_fract_y
_atom_site_fract_z
_atom_site_occupancy
Al1 0.000 0.000 0.500 1
Al2 0.000 0.500 0.000 1
Al3 0.500 0.000 0.000 1
Cu1 0.500 0.500 0.500 1
B1 0.000 0.000 0.000 1
# space-group type	Pm-3m (221)
# formation enthalpy at 0 K	0.303	eV/atom
# spin magnetization	0.000	μB per cell
# DOS at the Fermi energy	1.54	states/eV/cell
# calculated volume	70.8	Å³ per cell
# total energy	-0.1506	Ha/atom

# 6
# AlCuB3 | Alexandria via LeMat-Bulk | PBE-GGA | relaxed
data_AlCuB3
_chemical_formula_sum 'Al1 Cu1 B3'
_space_group_name_H-M_alt 'P 1'
_space_group_IT_number 1
_cell_length_a 3.896
_cell_length_b 3.896
_cell_length_c 3.896
_cell_angle_alpha 90.00
_cell_angle_beta 90.00
_cell_angle_gamma 90.00
loop_
_space_group_symop_operation_xyz
'x,y,z'
loop_
_atom_site_label
_atom_site_fract_x
_atom_site_fract_y
_atom_site_fract_z
_atom_site_occupancy
Al1 0.000 0.000 0.000 1
Cu1 0.500 0.500 0.500 1
B1 0.000 0.500 0.500 1
B2 0.500 0.000 0.500 1
B3 0.500 0.500 0.000 1
# space-group type	Pm-3m (221)
# formation enthalpy at 0 K	1.512	eV/atom
# spin magnetization	0.000	μB per cell
# DOS at the Fermi energy	1.76	states/eV/cell
# calculated volume	59.1	Å³ per cell
# total energy	-0.1493	Ha/atom

# 7
# Al2CuB2 | Alexandria via LeMat-Bulk | PBE-GGA | relaxed
data_Al2CuB2
_chemical_formula_sum 'Al4 Cu2 B4'
_space_group_name_H-M_alt 'P 1'
_space_group_IT_number 1
_cell_length_a 5.667
_cell_length_b 5.667
_cell_length_c 3.244
_cell_angle_alpha 90.00
_cell_angle_beta 90.00
_cell_angle_gamma 90.00
loop_
_space_group_symop_operation_xyz
'x,y,z'
loop_
_atom_site_label
_atom_site_fract_x
_atom_site_fract_y
_atom_site_fract_z
_atom_site_occupancy
Al1 0.186 0.314 0.000 1
Al2 0.314 0.814 0.000 1
Al3 0.686 0.186 0.000 1
Al4 0.814 0.686 0.000 1
Cu1 0.000 0.000 0.500 1
Cu2 0.500 0.500 0.500 1
B1 0.105 0.605 0.500 1
B2 0.395 0.105 0.500 1
B3 0.605 0.895 0.500 1
B4 0.895 0.395 0.500 1
# space-group type	P4/mbm (127)
# formation enthalpy at 0 K	0.099	eV/atom
# spin magnetization	0.000	μB per cell
# DOS at the Fermi energy	2.35	states/eV/cell
# calculated volume	104.2	Å³ per cell
# total energy	-0.1796	Ha/atom

# 8
# Al3CuB | Alexandria via LeMat-Bulk | PBE-GGA | relaxed
data_Al3CuB
_chemical_formula_sum 'Al3 Cu1 B1'
_space_group_name_H-M_alt 'P 1'
_space_group_IT_number 1
_cell_length_a 4.476
_cell_length_b 4.476
_cell_length_c 4.476
_cell_angle_alpha 90.00
_cell_angle_beta 90.00
_cell_angle_gamma 90.00
loop_
_space_group_symop_operation_xyz
'x,y,z'
loop_
_atom_site_label
_atom_site_fract_x
_atom_site_fract_y
_atom_site_fract_z
_atom_site_occupancy
Al1 0.000 0.000 0.500 1
Al2 0.000 0.500 0.000 1
Al3 0.500 0.000 0.000 1
Cu1 0.000 0.000 0.000 1
B1 0.500 0.500 0.500 1
# space-group type	Pm-3m (221)
# formation enthalpy at 0 K	0.978	eV/atom
# spin magnetization	0.000	μB per cell
# DOS at the Fermi energy	2.56	states/eV/cell
# calculated volume	89.7	Å³ per cell
# total energy	-0.1258	Ha/atom